(1)
Sm8RuPb2: relaxed, PBE.

POSCAR file:
```
Sm8RuPb2
1.0
5.0816 0.0000 0.0000
0.0000 6.9202 0.1388
-2.5408 -2.7126 9.4237
Sm Pb Ru
8 2 1
Direct
0.0146 0.7836 0.0291
0.5888 0.4658 0.1775
0.9854 0.2164 0.9709
0.2156 0.3246 0.4311
0.4112 0.5342 0.8225
0.3573 0.9967 0.7146
0.7844 0.6754 0.5689
0.6427 0.0033 0.2854
0.8195 0.2414 0.6389
0.1805 0.7586 0.3611
0.5000 0.0000 0.0000
```

- Total magnetization: 0.000 μB per cell
- Space-group type: C2/m (12)
- Calculated formation energy: -0.266 eV per atom
- Raw total energy: -57.37 eV per cell

(2)
Co2NiIr6: relaxed, PBE.

POSCAR file:
```
Co2NiIr6
1.0
-3.6382 2.4815 -4.8150
-2.9105 -4.5571 -0.1507
-1.4770 4.1004 1.6704
Ir Co Ni
6 2 1
Direct
0.4997 0.7578 0.5160
0.5003 0.2422 0.4840
0.7170 0.2032 0.8863
0.2830 0.7968 0.1137
0.2831 0.3168 0.1132
0.7169 0.6832 0.8868
0.0823 0.3404 0.6791
0.9177 0.6596 0.3209
0.0000 0.0000 0.0000
```

- Total magnetization: 4.013 μB per cell
- Space-group type: C2/m (12)
- Calculated formation energy: 0.244 eV per atom
- Raw total energy: -70.96 eV per cell

(3)
Zr2TcP: relaxed, PBE.

POSCAR file:
```
Zr2TcP
1.0
0.0000 3.2383 3.2383
3.2383 0.0000 3.2383
3.2383 3.2383 0.0000
Zr P Tc
2 1 1
Direct
0.2500 0.2500 0.2500
0.0000 0.0000 0.0000
0.5000 0.5000 0.5000
0.7500 0.7500 0.7500
```

- Total magnetization: 0.394 μB per cell
- Space-group type: F-43m (216)
- Calculated formation energy: -0.148 eV per atom
- Raw total energy: -33.46 eV per cell

(4)
ZrTl2Ir: relaxed, PBE.

POSCAR file:
```
ZrTl2Ir
1.0
0.0000 3.4417 3.4417
3.4417 0.0000 3.4417
3.4417 3.4417 0.0000
Ir Tl Zr
1 2 1
Direct
0.5000 0.5000 0.5000
0.2500 0.2500 0.2500
0.7500 0.7500 0.7500
0.0000 0.0000 0.0000
```

- Total magnetization: 0.000 μB per cell
- Space-group type: Fm-3m (225)
- Calculated formation energy: 0.241 eV per atom
- Raw total energy: -21.18 eV per cell
- E above lowest polymorph: 0.3593 eV/atom

(5)
LiZr4Sc5: relaxed, PBE.

POSCAR file:
```
LiZr4Sc5
1.0
3.2070 0.0000 0.0000
0.0000 3.2070 0.0000
0.0000 0.0000 22.6648
Zr Sc Li
4 5 1
Direct
0.0000 0.0000 0.3987
0.0000 0.0000 0.1950
0.0000 0.0000 0.6013
0.0000 0.0000 0.8050
0.5000 0.5000 0.7003
0.5000 0.5000 0.2997
0.5000 0.5000 0.5000
0.5000 0.5000 0.8990
0.5000 0.5000 0.1010
0.0000 0.0000 0.0000
```

- Total magnetization: 0.000 μB per cell
- Space-group type: P4/mmm (123)
- Calculated formation energy: 0.026 eV per atom
- Raw total energy: -67.50 eV per cell

(6)
Cs2ErUS6: relaxed, PBE.

POSCAR file:
```
Cs2ErUS6
1.0
-2.7446 -5.5628 4.1179
2.8804 -4.9464 -4.7622
8.8990 -0.2296 5.6211
Cs S Er U
4 12 2 2
Direct
0.0000 0.2502 0.7500
0.5000 0.7498 0.7500
0.0000 0.2502 0.2500
0.5000 0.7498 0.2500
0.7426 0.0074 0.5000
0.7574 0.5075 0.0000
0.2426 0.5075 0.0000
0.2574 0.0074 0.5000
0.2426 0.9926 0.0000
0.2574 0.4925 0.5000
0.5000 0.2500 0.2573
0.5000 0.2500 0.7427
0.7574 0.9926 0.0000
0.7426 0.4925 0.5000
0.0000 0.7500 0.2427
0.0000 0.7500 0.7573
0.5000 0.2500 0.0000
0.0000 0.7500 0.5000
0.0000 0.7501 0.0000
0.5000 0.2499 0.5000
```

- Total magnetization: 0.000 μB per cell
- Space-group type: Fm-3m (225)
- Raw total energy: -111.91 eV per cell
- E_form (uncorrected): -1.36 eV per atom

(7)
PrTaAlIr2: relaxed, PBE.

POSCAR file:
```
PrTaAlIr2
1.0
-3.1409 2.2371 1.6657
-2.4131 -3.4376 0.0667
4.6634 -0.6232 4.3341
Ta Ir Al Pr
1 2 1 1
Direct
0.2500 0.7500 0.5000
0.3839 0.3839 0.7679
0.6161 0.6161 0.2321
0.7500 0.2500 0.5000
0.0000 0.0000 0.0000
```

- Total magnetization: 0.000 μB per cell
- Space-group type: I-4m2 (119)
- Calculated formation energy: -0.733 eV per atom
- Raw total energy: -41.76 eV per cell

(8)
PmNdSm2Ho: relaxed, PBE.

POSCAR file:
```
PmNdSm2Ho
1.0
6.6027 0.0000 0.0000
0.0000 8.2861 1.2486
0.0000 -1.2498 6.1401
Ho Sm Nd Pm
2 4 2 2
Direct
0.8349 0.5000 0.2500
0.1651 0.5000 0.7500
0.6926 0.6902 0.7669
0.3074 0.6902 0.2669
0.3074 0.3098 0.2331
0.6926 0.3098 0.7331
0.0000 0.0000 0.5000
0.0000 0.0000 0.0000
0.5680 0.0000 0.2500
0.4320 0.0000 0.7500
```

- Total magnetization: 0.000 μB per cell
- Space-group type: P2/c (13)
- Calculated formation energy: 0.272 eV per atom
- Raw total energy: -44.35 eV per cell

Among the records above, which one has the lowest raw total energy?
Cs2ErUS6

What did the fifth record say?
LiZr4Sc5: relaxed, PBE.

POSCAR file:
```
LiZr4Sc5
1.0
3.2070 0.0000 0.0000
0.0000 3.2070 0.0000
0.0000 0.0000 22.6648
Zr Sc Li
4 5 1
Direct
0.0000 0.0000 0.3987
0.0000 0.0000 0.1950
0.0000 0.0000 0.6013
0.0000 0.0000 0.8050
0.5000 0.5000 0.7003
0.5000 0.5000 0.2997
0.5000 0.5000 0.5000
0.5000 0.5000 0.8990
0.5000 0.5000 0.1010
0.0000 0.0000 0.0000
```

- Total magnetization: 0.000 μB per cell
- Space-group type: P4/mmm (123)
- Calculated formation energy: 0.026 eV per atom
- Raw total energy: -67.50 eV per cell

Which formula does entry 3 have?
Zr2TcP